VASP calculation (PBE) on crystalline TiNbIrOs at its relaxed geometry.

Properties
- space-group type = No. 216
- DFT total energy (eV/f.u.) = -39.69
- DFT formation energy (eV/atom) = -0.409

Cell lengths 4.4676, 4.4676, 4.4676 Å; angles 60.00, 60.00, 60.00 degrees
With the nearest neighbours (Å) after each atom.
Element x y z (fractional)
Ti: 0.2500 0.2500 0.2500  4 Ir 2.74, 4 Os 2.74
Os: 0.0000 0.0000 0.0000  4 Ti 2.74, 4 Nb 2.74
Ir: 0.5000 0.5000 0.5000  4 Nb 2.74, 4 Ti 2.74
Nb: 0.7500 0.7500 0.7500  4 Ir 2.74, 4 Os 2.74